[1]
{"formula": "CsPdPb3", "functional": "GGA-PBE", "state": "optimized geometry", "lattice": [[6.239, 0.000, 0.000], [0.000, 6.239, 0.000], [0.000, 0.000, 6.239]], "species": ["Cs", "Pb", "Pb", "Pb", "Pd"], "frac_coords": [[0.000, 0.000, 0.000], [0.000, 0.500, 0.000], [0.000, 0.000, 0.500], [0.500, 0.000, 0.000], [0.500, 0.500, 0.500]], "relative_energy_ev_per_atom": 1.838, "sg": "No. 221"}

---

[2]
{"formula": "Cs3PdPb4", "functional": "GGA-PBE", "state": "optimized geometry", "lattice": [[-4.710, -4.374, -0.907], [1.321, -2.880, 7.028], [-9.696, 9.275, 5.623]], "species": ["Pb", "Pb", "Pb", "Pb", "Pb", "Pb", "Pb", "Pb", "Cs", "Cs", "Cs", "Cs", "Cs", "Cs", "Pd", "Pd"], "frac_coords": [[0.656, 0.000, 0.382], [0.344, 0.500, 0.882], [0.344, 0.500, 0.118], [0.656, 0.000, 0.618], [0.032, 0.284, 0.000], [0.032, 0.716, 0.000], [0.968, 0.216, 0.500], [0.968, 0.784, 0.500], [0.543, 0.000, 0.000], [0.161, 0.000, 0.761], [0.839, 0.500, 0.261], [0.839, 0.500, 0.739], [0.161, 0.000, 0.239], [0.457, 0.500, 0.500], [0.319, 0.000, 0.500], [0.681, 0.500, 0.000]], "sg": "No. 59"}

---

[3]
{"formula": "CsPdPb", "functional": "GGA-PBE", "state": "optimized geometry", "lattice": [[3.746, 0.000, 0.000], [0.000, 3.746, 0.000], [-1.873, -1.873, 6.866]], "species": ["Cs", "Pb", "Pd"], "frac_coords": [[0.006, 0.006, 0.012], [0.287, 0.287, 0.573], [0.707, 0.707, 0.415]], "sg": "No. 107"}

---

[4]
{"formula": "Cs12Pd5Pb3", "functional": "GGA-PBE", "state": "optimized geometry", "lattice": [[-13.619, 12.517, -1.632], [-4.850, -12.828, 12.520], [15.567, 8.477, 5.535]], "species": ["Cs", "Cs", "Cs", "Cs", "Cs", "Cs", "Cs", "Cs", "Cs", "Cs", "Cs", "Cs", "Cs", "Cs", "Cs", "Cs", "Cs", "Cs", "Cs", "Cs", "Cs", "Cs", "Cs", "Cs", "Cs", "Cs", "Cs", "Cs", "Cs", "Cs", "Cs", "Cs", "Cs", "Cs", "Cs", "Cs", "Cs", "Cs", "Cs", "Cs", "Cs", "Cs", "Cs", "Cs", "Cs", "Cs", "Cs", "Cs", "Pd", "Pd", "Pd", "Pd", "Pd", "Pd", "Pd", "Pd", "Pd", "Pd", "Pd", "Pd", "Pd", "Pd", "Pd", "Pd", "Pd", "Pd", "Pd", "Pd", "Pb", "Pb", "Pb", "Pb", "Pb", "Pb", "Pb", "Pb", "Pb", "Pb", "Pb", "Pb"], "frac_coords": [[0.591, 0.976, 0.679], [0.409, 0.024, 0.321], [0.524, 0.204, 0.115], [0.476, 0.679, 0.091], [0.385, 0.409, 0.088], [0.296, 0.412, 0.821], [0.704, 0.115, 0.024], [0.909, 0.088, 0.885], [0.976, 0.591, 0.179], [0.321, 0.796, 0.412], [0.204, 0.679, 0.088], [0.412, 0.115, 0.591], [0.091, 0.912, 0.115], [0.821, 0.909, 0.024], [0.024, 0.409, 0.821], [0.704, 0.588, 0.179], [0.088, 0.909, 0.385], [0.615, 0.591, 0.912], [0.588, 0.885, 0.409], [0.179, 0.091, 0.976], [0.115, 0.704, 0.524], [0.476, 0.796, 0.885], [0.885, 0.296, 0.476], [0.588, 0.704, 0.679], [0.091, 0.179, 0.476], [0.885, 0.588, 0.909], [0.088, 0.179, 0.204], [0.976, 0.385, 0.296], [0.615, 0.024, 0.204], [0.179, 0.088, 0.704], [0.821, 0.912, 0.296], [0.796, 0.476, 0.385], [0.912, 0.821, 0.796], [0.409, 0.385, 0.588], [0.385, 0.976, 0.796], [0.321, 0.524, 0.409], [0.115, 0.412, 0.091], [0.204, 0.524, 0.615], [0.024, 0.615, 0.704], [0.412, 0.296, 0.321], [0.679, 0.476, 0.591], [0.591, 0.615, 0.412], [0.912, 0.091, 0.615], [0.524, 0.321, 0.909], [0.796, 0.321, 0.912], [0.679, 0.204, 0.588], [0.296, 0.885, 0.976], [0.909, 0.821, 0.524], [0.250, 0.375, 0.625], [0.000, 0.500, 0.500], [0.750, 0.125, 0.875], [0.250, 0.875, 0.125], [0.000, 0.000, 0.000], [0.375, 0.125, 0.750], [0.500, 0.500, 0.000], [0.750, 0.625, 0.375], [0.125, 0.375, 0.250], [0.625, 0.750, 0.875], [0.875, 0.250, 0.625], [0.875, 0.625, 0.750], [0.125, 0.750, 0.375], [0.500, 0.000, 0.000], [0.000, 0.000, 0.500], [0.000, 0.500, 0.000], [0.500, 0.500, 0.500], [0.625, 0.875, 0.250], [0.500, 0.000, 0.500], [0.375, 0.250, 0.125], [0.875, 0.750, 0.125], [0.750, 0.375, 0.125], [0.125, 0.875, 0.750], [0.250, 0.625, 0.875], [0.750, 0.875, 0.625], [0.375, 0.750, 0.625], [0.625, 0.375, 0.750], [0.125, 0.250, 0.875], [0.875, 0.125, 0.250], [0.250, 0.125, 0.375], [0.625, 0.250, 0.375], [0.375, 0.625, 0.250]], "sg": "No. 230"}

---

[5]
{"formula": "CsPdPb", "functional": "GGA-PBE", "state": "optimized geometry", "lattice": [[-4.422, -2.371, 0.975], [-0.775, -0.617, -5.014], [4.033, -7.403, 0.287]], "species": ["Cs", "Cs", "Pb", "Pb", "Pd", "Pd"], "frac_coords": [[0.000, 0.500, 0.832], [0.500, 0.000, 0.168], [0.000, 0.500, 0.367], [0.500, 0.000, 0.633], [0.000, 0.000, 0.500], [0.500, 0.500, 0.500]], "sg": "No. 129"}

---

[6]
{"formula": "CsPdPb3", "functional": "GGA-PBE", "state": "optimized geometry", "lattice": [[-1.420, 2.733, -4.671], [0.347, -4.773, -2.898], [-5.400, -1.025, 1.042]], "species": ["Pb", "Pb", "Pb", "Cs", "Pd"], "frac_coords": [[0.500, 0.000, 0.000], [0.000, 0.000, 0.500], [0.000, 0.500, 0.000], [0.500, 0.500, 0.500], [0.000, 0.000, 0.000]], "relative_energy_ev_per_atom": 0.298, "sg": "No. 221"}

---

[7]
{"formula": "Cs2PdPb2", "functional": "GGA-PBE", "state": "optimized geometry", "lattice": [[-0.070, 4.377, -1.214], [1.501, 0.187, -7.910], [-11.646, 1.663, -1.836]], "species": ["Pb", "Pb", "Pb", "Pb", "Cs", "Cs", "Cs", "Cs", "Pd", "Pd"], "frac_coords": [[0.850, 0.863, 0.438], [0.383, 0.118, 0.116], [0.617, 0.882, 0.884], [0.150, 0.137, 0.562], [0.642, 0.371, 0.345], [0.358, 0.629, 0.655], [0.093, 0.693, 0.120], [0.907, 0.307, 0.880], [0.655, 0.018, 0.673], [0.345, 0.982, 0.327]], "relative_energy_ev_per_atom": 0.000, "sg": "No. 12"}

---

[8]
{"formula": "CsPd2Pb2", "functional": "GGA-PBE", "state": "optimized geometry", "lattice": [[0.960, 2.120, -4.136], [4.699, -2.052, 0.039], [-4.339, -5.466, -1.086]], "species": ["Pb", "Pb", "Pd", "Pd", "Cs"], "frac_coords": [[0.660, 0.601, 0.321], [0.340, 0.399, 0.679], [0.750, 0.164, 0.499], [0.250, 0.836, 0.501], [0.000, 0.000, 0.000]], "relative_energy_ev_per_atom": 0.000, "sg": "No. 12"}

---

[9]
{"formula": "CsPdPb6", "functional": "GGA-PBE", "state": "optimized geometry", "lattice": [[-1.619, 1.923, -4.339], [-4.709, -0.081, 1.721], [1.268, 9.941, 3.934]], "species": ["Pb", "Pb", "Pb", "Pb", "Pb", "Pb", "Cs", "Pd"], "frac_coords": [[0.500, 0.000, 0.346], [0.000, 0.500, 0.654], [0.500, 0.500, 0.159], [0.500, 0.500, 0.841], [0.000, 0.500, 0.346], [0.500, 0.000, 0.654], [0.000, 0.000, 0.000], [0.000, 0.000, 0.500]], "sg": "No. 123"}

---

[10]
{"formula": "CsPdPb", "functional": "GGA-PBE", "state": "optimized geometry", "lattice": [[-5.418, -2.291, 1.758], [0.694, -3.740, -2.734], [1.464, -0.048, 4.450]], "species": ["Cs", "Pd", "Pb"], "frac_coords": [[0.666, 0.333, 0.667], [0.168, 0.667, 0.333], [0.166, 0.000, 0.000]], "sg": "No. 156"}

---

[11]
{"formula": "Cs4PdPb5", "functional": "GGA-PBE", "state": "optimized geometry", "lattice": [[1.062, -6.668, 1.569], [3.209, -4.670, -6.706], [8.039, -1.581, 3.156]], "species": ["Pb", "Pb", "Pb", "Pb", "Pb", "Cs", "Cs", "Cs", "Cs", "Pd"], "frac_coords": [[0.105, 0.000, 0.717], [0.822, 0.000, 0.283], [0.105, 0.717, 0.000], [0.822, 0.283, 0.000], [0.641, 0.000, 0.000], [0.143, 0.300, 0.300], [0.743, 0.700, 0.700], [0.443, 0.300, 0.700], [0.443, 0.700, 0.300], [0.221, 0.000, 0.000]], "sg": "No. 107"}

---

[12]
{"formula": "Cs4PdPb4", "functional": "GGA-PBE", "state": "optimized geometry", "lattice": [[7.878, 0.000, 0.000], [-3.939, 8.360, 3.939], [0.000, 0.000, 7.878]], "species": ["Pd", "Cs", "Cs", "Cs", "Cs", "Pb", "Pb", "Pb", "Pb"], "frac_coords": [[0.000, 0.000, 0.000], [0.195, 0.750, 0.445], [0.805, 0.250, 0.195], [0.445, 0.250, 0.555], [0.555, 0.750, 0.805], [0.271, 0.280, 0.991], [0.729, 0.720, 0.271], [0.009, 0.280, 0.729], [0.991, 0.720, 0.009]], "sg": "No. 121"}

---

[13]
{"formula": "Cs2PdPb2", "functional": "GGA-PBE", "state": "optimized geometry", "lattice": [[7.526, 0.000, 0.000], [0.000, 7.526, 0.000], [0.000, 0.000, 6.576]], "species": ["Pd", "Pd", "Cs", "Cs", "Cs", "Cs", "Pb", "Pb", "Pb", "Pb"], "frac_coords": [[0.500, 0.500, 0.000], [0.000, 0.000, 0.000], [0.318, 0.182, 0.500], [0.682, 0.818, 0.500], [0.818, 0.318, 0.500], [0.182, 0.682, 0.500], [0.352, 0.852, 0.000], [0.148, 0.352, 0.000], [0.648, 0.148, 0.000], [0.852, 0.648, 0.000]], "relative_energy_ev_per_atom": 0.101, "sg": "No. 127"}

---

[14]
{"formula": "CsPd2Pb2", "functional": "GGA-PBE", "state": "optimized geometry", "lattice": [[8.888, 0.000, 0.000], [0.000, 8.888, 0.000], [0.000, 0.000, 3.441]], "species": ["Pb", "Pb", "Pb", "Pb", "Cs", "Cs", "Pd", "Pd", "Pd", "Pd"], "frac_coords": [[0.363, 0.137, 0.500], [0.863, 0.363, 0.500], [0.637, 0.863, 0.500], [0.137, 0.637, 0.500], [0.500, 0.500, 0.000], [0.000, 0.000, 0.000], [0.628, 0.128, 0.000], [0.372, 0.872, 0.000], [0.872, 0.628, 0.000], [0.128, 0.372, 0.000]], "relative_energy_ev_per_atom": 0.165, "sg": "No. 127"}

---

[15]
{"formula": "CsPd2Pb4", "functional": "GGA-PBE", "state": "optimized geometry", "lattice": [[-0.032, 2.505, 4.018], [5.999, -5.927, 3.742], [7.009, 5.116, -3.133]], "species": ["Cs", "Cs", "Pb", "Pb", "Pb", "Pb", "Pb", "Pb", "Pb", "Pb", "Pd", "Pd", "Pd", "Pd"], "frac_coords": [[0.500, 0.000, 0.000], [0.000, 0.500, 0.500], [0.000, 0.072, 0.328], [0.000, 0.928, 0.672], [0.500, 0.828, 0.428], [0.500, 0.572, 0.172], [0.500, 0.428, 0.828], [0.000, 0.328, 0.072], [0.000, 0.672, 0.928], [0.500, 0.172, 0.572], [0.000, 0.776, 0.224], [0.500, 0.724, 0.724], [0.000, 0.224, 0.776], [0.500, 0.276, 0.276]], "sg": "No. 136"}

---

[16]
{"formula": "CsPd2Pb2", "functional": "GGA-PBE", "state": "optimized geometry", "lattice": [[-0.524, -4.783, -1.247], [4.938, -0.454, -0.337], [2.455, -4.115, 4.847]], "species": ["Pd", "Pd", "Pb", "Pb", "Cs"], "frac_coords": [[0.624, 0.624, 0.751], [0.376, 0.376, 0.249], [0.750, 0.250, 0.500], [0.250, 0.750, 0.500], [0.000, 0.000, 0.000]], "relative_energy_ev_per_atom": 0.140, "sg": "No. 139"}

---

[17]
{"formula": "CsPd3Pb3", "functional": "GGA-PBE", "state": "optimized geometry", "lattice": [[-6.012, 4.753, -0.569], [-1.168, -0.571, 7.575], [4.643, 6.012, 1.169]], "species": ["Pb", "Pb", "Pb", "Pb", "Pb", "Pb", "Cs", "Cs", "Pd", "Pd", "Pd", "Pd", "Pd", "Pd"], "frac_coords": [[0.000, 0.500, 0.750], [0.000, 0.500, 0.250], [0.250, 0.000, 0.500], [0.500, 0.250, 0.000], [0.750, 0.000, 0.500], [0.500, 0.750, 0.000], [0.500, 0.500, 0.500], [0.000, 0.000, 0.000], [0.750, 0.500, 0.000], [0.000, 0.750, 0.500], [0.250, 0.500, 0.000], [0.000, 0.250, 0.500], [0.500, 0.000, 0.250], [0.500, 0.000, 0.750]], "sg": "No. 223"}

---

[18]
{"formula": "Cs2Pd2Pb", "functional": "GGA-PBE", "state": "optimized geometry", "lattice": [[4.629, 0.000, 1.329], [2.124, 4.113, 1.329], [-0.793, -0.483, 11.490]], "species": ["Cs", "Cs", "Pb", "Pd", "Pd"], "frac_coords": [[0.423, 0.423, 0.731], [0.577, 0.577, 0.269], [0.000, 0.000, 0.000], [0.322, 0.322, 0.035], [0.678, 0.678, 0.965]], "relative_energy_ev_per_atom": 0.000, "sg": "No. 166"}

---

[19]
{"formula": "CsPd3Pb2", "functional": "GGA-PBE", "state": "optimized geometry", "lattice": [[-3.506, 1.520, 1.793], [-1.900, -0.212, -8.504], [-1.655, -8.890, 4.301]], "species": ["Pd", "Pd", "Pd", "Pd", "Pd", "Pd", "Pb", "Pb", "Pb", "Pb", "Cs", "Cs"], "frac_coords": [[0.575, 0.150, 0.626], [0.952, 0.903, 0.586], [0.688, 0.377, 0.469], [0.425, 0.850, 0.374], [0.312, 0.623, 0.531], [0.048, 0.097, 0.414], [0.808, 0.615, 0.333], [0.192, 0.385, 0.667], [0.538, 0.077, 0.234], [0.462, 0.923, 0.766], [0.145, 0.290, 0.031], [0.855, 0.710, 0.969]], "sg": "No. 12"}

---

[20]
{"formula": "Cs2PdPb2", "functional": "GGA-PBE", "state": "optimized geometry", "lattice": [[-2.956, -2.556, -2.002], [3.096, -3.035, -0.696], [-2.523, -7.778, 8.841]], "species": ["Cs", "Cs", "Pd", "Pb", "Pb"], "frac_coords": [[0.588, 0.588, 0.824], [0.412, 0.412, 0.176], [0.000, 0.000, 0.000], [0.750, 0.250, 0.500], [0.250, 0.750, 0.500]], "relative_energy_ev_per_atom": 0.318, "sg": "No. 139"}

---

no.,formation energy (eV per atom)
1,1.590
2,-0.228
3,-0.114
4,0.242
5,-0.239
6,0.051
7,-0.136
8,-0.236
9,-0.101
10,-0.069
11,-0.181
12,-0.013
13,-0.035
14,-0.071
15,-0.129
16,-0.096
17,-0.079
18,-0.192
19,-0.222
20,0.182